# Mg3P

A relaxed structure of Mg3P (GGA-PBE, Alexandria).

Summary:
M_tot = 0.00 Bohr magnetons per cell
Raw total energy = -2.712 eV per atom
DFT formation energy = -0.16 eV per atom

abc: 3.9316 3.9316 21.3533
angles: 90.00 90.00 120.00
Space group R-3m (No. 166, hexagonal axes)
One atom of each set of equivalent atoms:
Mg 0.0000 0.0000 0.0000
Mg 0.0000 0.0000 0.2231
P 0.0000 0.0000 0.5000

# NiSn2Cl

A relaxed structure of NiSn2Cl (GGA-PBE, Alexandria).

Summary:
E_form (uncorrected) = -54 meV/atom
M_tot = 0.00 Bohr magnetons per cell
Raw total energy = -3.963 eV per atom
E above lowest polymorph = 0.00 eV per formula unit

abc: 6.086 6.086 12.796
angles: 90.00 90.00 90.00
Space group I-42d (No. 122)
One atom of each set of equivalent atoms:
Ni 0.000 0.000 0.000
Sn 0.164 0.250 0.125
Cl 0.000 0.000 0.500